Record 1
VASP calculation (PBE-GGA) on Ge4PtRh7 after structural relaxation.

Geometry as POSCAR:
```
Ge4PtRh7
1.0
4.7012 -0.6994 2.4580
1.4782 6.8152 1.0759
2.5200 -0.5560 6.7189
Ge Pt Rh
4 1 7
Cartesian
4.1291 1.3200 6.3941
2.1213 1.6138 2.7574
6.5781 3.9460 7.4955
4.5703 4.2398 3.8588
0.0000 0.0000 0.0000
3.9177 6.3193 5.0908
6.4461 1.5362 7.6680
4.7817 -0.7594 5.1620
4.1903 3.7223 6.3592
4.5091 1.8375 3.8937
2.3506 -0.3497 1.2290
2.2533 4.0236 2.5849
```

Properties
E in eV per atom: -6.67

Record 2
VASP calculation (PBE-GGA) on PdAu after structural relaxation.

Geometry as POSCAR:
```
PdAu
1.0
-0.9732 4.4993 -6.6169
-7.8661 -1.7600 -0.0399
-1.4670 6.4523 4.6032
Pd Au
8 8
Cartesian
-6.4180 5.7240 -1.2788
-5.8190 3.0357 -0.7845
-1.2649 1.1281 -0.2520
-7.9344 3.1951 -5.2748
-8.3070 4.6687 3.1912
-4.1271 4.5722 -2.3989
-4.2483 5.0516 0.3552
-3.1061 9.3916 -1.7714
-6.8110 0.7118 -0.4237
-6.5866 3.8739 -3.2163
-2.9005 5.7303 2.4137
-2.5987 4.5369 -4.4429
-3.1491 2.8085 -0.6275
-8.3022 7.4044 -1.6542
-6.7787 4.6334 1.1472
-4.0980 7.0677 -1.4106
```

Properties
E in eV per atom: -3.43

What is the E in the first record?
-6.67 eV per atom

Look up the E of the first one.
-6.67 eV per atom

What is the E in the second record?
-3.43 eV per atom